## one
DFT (PBE) results for a relaxed NdHgSe2 crystal.

a b c (Å): 4.351 4.351 25.970
angles (deg): 90.00 90.00 120.00
Fractional positions:
Nd 0.000 0.671 0.333
Nd 0.329 0.329 0.000
Nd 0.671 0.000 0.667
Hg 0.000 0.664 0.833
Hg 0.336 0.336 0.500
Hg 0.664 0.000 0.167
Se 0.004 0.667 0.728
Se 0.333 0.337 0.394
Se 0.337 0.333 0.606
Se 0.663 0.996 0.061
Se 0.667 0.004 0.272
Se 0.996 0.663 0.939

SG	No. 154
calculated density	5.9	Mg/m³

## two
DFT (PBE) results for a relaxed NdHgSe2 crystal.

a b c (Å): 9.084 9.084 9.084
angles (deg): 26.10 26.10 26.10
Fractional positions:
Nd 0.000 0.000 0.000
Hg 0.500 0.500 0.500
Se 0.107 0.107 0.107
Se 0.893 0.893 0.893

SG	No. 166
calculated density	6.5	Mg/m³

one has the most favorable energy; the next structure is 826 meV/atom above.

## one
DFT (PBE) results for a relaxed Nd3SmHg crystal.

a b c (Å): 15.255 15.255 5.699
angles (deg): 90.14 90.14 14.13
Fractional positions:
Nd 0.048 0.048 0.241
Nd 0.128 0.128 0.747
Nd 0.340 0.340 0.751
Nd 0.660 0.660 0.249
Nd 0.872 0.872 0.253
Nd 0.952 0.952 0.759
Sm 0.267 0.267 0.251
Sm 0.733 0.733 0.749
Hg 0.459 0.459 0.263
Hg 0.541 0.541 0.737

SG	No. 12
calculated density	8.0	Mg/m³

## two
DFT (PBE) results for a relaxed Nd3SmHg crystal.

a b c (Å): 6.952 6.952 8.126
angles (deg): 107.43 107.43 66.90
Fractional positions:
Nd 0.058 0.058 0.239
Nd 0.089 0.587 0.353
Nd 0.413 0.911 0.647
Nd 0.587 0.089 0.353
Nd 0.911 0.413 0.647
Nd 0.942 0.942 0.761
Sm 0.440 0.440 0.759
Sm 0.560 0.560 0.241
Hg 0.255 0.255 0.000
Hg 0.745 0.745 0.000

SG	No. 12
calculated density	7.7	Mg/m³

one has the most favorable energy; the next structure is 88 meV/atom above.

## one
DFT (PBE) results for a relaxed NdSm2Hg crystal.

a b c (Å): 3.715 3.715 8.964
angles (deg): 90.00 90.00 90.00
Fractional positions:
Nd 0.000 0.000 0.000
Sm 0.500 0.500 0.281
Sm 0.500 0.500 0.719
Hg 0.000 0.000 0.500

SG	No. 123
calculated density	8.7	Mg/m³

## two
DFT (PBE) results for a relaxed NdSm2Hg crystal.

a b c (Å): 11.044 11.044 11.044
angles (deg): 19.26 19.26 19.26
Fractional positions:
Nd 0.000 0.000 0.000
Sm 0.242 0.242 0.242
Sm 0.758 0.758 0.758
Hg 0.500 0.500 0.500

SG	No. 166
calculated density	8.4	Mg/m³

one has the most favorable energy; the next structure is 73 meV/atom above.

## one
DFT (PBE) results for a relaxed NdSm2Hg crystal.

a b c (Å): 4.917 4.917 4.905
angles (deg): 90.00 90.00 90.00
Fractional positions:
Nd 0.000 0.000 0.000
Sm 0.000 0.500 0.500
Sm 0.500 0.000 0.500
Hg 0.500 0.500 0.000

SG	No. 123
calculated density	9.0	Mg/m³

## two
DFT (PBE) results for a relaxed NdSm2Hg crystal.

a b c (Å): 10.998 10.998 10.998
angles (deg): 19.46 19.46 19.46
Fractional positions:
Nd 0.000 0.000 0.000
Sm 0.575 0.575 0.575
Sm 0.759 0.759 0.759
Hg 0.167 0.167 0.167

SG	No. 160
calculated density	8.3	Mg/m³

one has the most favorable energy; the next structure is 24 meV/atom above.

## one
DFT (PBE) results for a relaxed Nd2SmHg crystal.

a b c (Å): 11.133 11.133 11.133
angles (deg): 19.16 19.16 19.16
Fractional positions:
Nd 0.243 0.243 0.243
Nd 0.757 0.757 0.757
Sm 0.000 0.000 0.000
Hg 0.500 0.500 0.500

SG	No. 166
calculated density	8.2	Mg/m³

## two
DFT (PBE) results for a relaxed Nd2SmHg crystal.

a b c (Å): 3.741 3.741 9.014
angles (deg): 90.00 90.00 90.00
Fractional positions:
Nd 0.000 0.000 0.222
Nd 0.000 0.000 0.778
Sm 0.500 0.500 0.500
Hg 0.500 0.500 0.000

SG	No. 123
calculated density	8.4	Mg/m³

two has the most favorable energy; the next structure is 79 meV/atom above.

## one
DFT (PBE) results for a relaxed NdSmHg3 crystal.

a b c (Å): 14.955 14.955 5.024
angles (deg): 90.00 90.00 166.24
Fractional positions:
Nd 0.075 0.925 0.750
Nd 0.925 0.075 0.250
Sm 0.210 0.790 0.250
Sm 0.790 0.210 0.750
Hg 0.321 0.679 0.250
Hg 0.379 0.621 0.750
Hg 0.476 0.524 0.750
Hg 0.524 0.476 0.250
Hg 0.621 0.379 0.250
Hg 0.679 0.321 0.750

SG	No. 63
calculated density	11.1	Mg/m³

## two
DFT (PBE) results for a relaxed NdSmHg3 crystal.

a b c (Å): 7.332 7.332 6.511
angles (deg): 90.00 90.00 120.00
Fractional positions:
Nd 0.000 0.000 0.000
Nd 0.000 0.000 0.500
Sm 0.333 0.667 0.250
Sm 0.667 0.333 0.750
Hg 0.203 0.406 0.750
Hg 0.203 0.797 0.750
Hg 0.406 0.203 0.250
Hg 0.594 0.797 0.750
Hg 0.797 0.203 0.250
Hg 0.797 0.594 0.250

SG	No. 194
calculated density	9.8	Mg/m³

one has the most favorable energy; the next structure is 267 meV/atom above.

## one
DFT (PBE) results for a relaxed NdSmHg crystal.

a b c (Å): 5.288 5.288 8.240
angles (deg): 108.62 108.62 60.21
Fractional positions:
Nd 0.000 0.000 0.000
Nd 0.163 0.163 0.497
Sm 0.422 0.422 0.267
Sm 0.585 0.585 0.763
Hg 0.727 0.727 0.180
Hg 0.858 0.858 0.585

SG	No. 8
calculated density	8.8	Mg/m³

## two
DFT (PBE) results for a relaxed NdSmHg crystal.

a b c (Å): 5.233 5.233 5.233
angles (deg): 60.00 60.00 60.00
Fractional positions:
Nd 0.000 0.000 0.000
Sm 0.500 0.500 0.500
Hg 0.750 0.750 0.750

SG	No. 216
calculated density	8.1	Mg/m³

## three
DFT (PBE) results for a relaxed NdSmHg crystal.

a b c (Å): 6.996 6.996 6.996
angles (deg): 149.00 149.00 44.41
Fractional positions:
Nd 0.000 0.000 0.000
Sm 0.307 0.307 0.000
Hg 0.658 0.658 0.000

SG	No. 107
calculated density	9.1	Mg/m³

three has the most favorable energy; the next structure is 106 meV/atom above.

## one
DFT (PBE) results for a relaxed Nd2SmHg2 crystal.

a b c (Å): 6.074 6.074 6.074
angles (deg): 132.39 107.54 91.40
Fractional positions:
Nd 0.193 0.193 0.000
Nd 0.807 0.807 0.000
Sm 0.500 0.000 0.500
Hg 0.215 0.500 0.715
Hg 0.785 0.500 0.285

SG	No. 71
calculated density	9.3	Mg/m³

## two
DFT (PBE) results for a relaxed Nd2SmHg2 crystal.

a b c (Å): 3.836 5.455 14.164
angles (deg): 90.00 97.80 90.00
Fractional positions:
Nd 0.047 0.250 0.092
Nd 0.234 0.250 0.470
Nd 0.766 0.750 0.530
Nd 0.953 0.750 0.908
Sm 0.147 0.750 0.291
Sm 0.853 0.250 0.709
Hg 0.358 0.750 0.715
Hg 0.448 0.250 0.898
Hg 0.552 0.750 0.102
Hg 0.642 0.250 0.285

SG	No. 11
calculated density	9.5	Mg/m³

two has the most favorable energy; the next structure is 52 meV/atom above.

## one
DFT (PBE) results for a relaxed Nd2Sm2Hg3 crystal.

a b c (Å): 5.350 5.355 9.085
angles (deg): 90.08 107.01 119.92
Fractional positions:
Nd 0.240 0.119 0.359
Nd 0.760 0.881 0.641
Sm 0.255 0.628 0.883
Sm 0.745 0.372 0.117
Hg 0.000 0.500 0.500
Hg 0.500 0.251 0.752
Hg 0.500 0.749 0.248

SG	No. 2
calculated density	9.3	Mg/m³

## two
DFT (PBE) results for a relaxed Nd2Sm2Hg3 crystal.

a b c (Å): 7.361 7.361 6.568
angles (deg): 112.50 112.50 41.72
Fractional positions:
Nd 0.156 0.156 0.252
Nd 0.844 0.844 0.748
Sm 0.444 0.444 0.206
Sm 0.556 0.556 0.794
Hg 0.000 0.000 0.500
Hg 0.229 0.229 0.811
Hg 0.771 0.771 0.189

SG	No. 12
calculated density	9.2	Mg/m³

one has the most favorable energy; the next structure is 40 meV/atom above.

## one
DFT (PBE) results for a relaxed Nd6SmHg2 crystal.

a b c (Å): 9.784 9.784 6.262
angles (deg): 94.39 94.39 73.08
Fractional positions:
Nd 0.063 0.820 0.995
Nd 0.149 0.398 0.168
Nd 0.180 0.937 0.505
Nd 0.230 0.534 0.689
Nd 0.398 0.149 0.668
Nd 0.466 0.770 0.811
Nd 0.534 0.230 0.189
Nd 0.602 0.851 0.332
Nd 0.770 0.466 0.311
Nd 0.820 0.063 0.495
Nd 0.851 0.602 0.832
Nd 0.937 0.180 0.005
Sm 0.397 0.603 0.250
Sm 0.603 0.397 0.750
Hg 0.039 0.291 0.595
Hg 0.291 0.039 0.095
Hg 0.709 0.961 0.905
Hg 0.961 0.709 0.405

SG	No. 15
calculated density	8.2	Mg/m³

## two
DFT (PBE) results for a relaxed Nd6SmHg2 crystal.

a b c (Å): 6.774 6.774 12.296
angles (deg): 107.83 107.83 32.72
Fractional positions:
Nd 0.021 0.021 0.338
Nd 0.310 0.310 0.410
Nd 0.314 0.314 0.124
Nd 0.686 0.686 0.876
Nd 0.690 0.690 0.590
Nd 0.979 0.979 0.662
Sm 0.000 0.000 0.000
Hg 0.359 0.359 0.801
Hg 0.641 0.641 0.199

SG	No. 12
calculated density	8.1	Mg/m³

two has the most favorable energy; the next structure is 69 meV/atom above.

## one
DFT (PBE) results for a relaxed Nd2Sm6Hg crystal.

a b c (Å): 9.573 9.573 3.750
angles (deg): 90.00 90.00 120.00
Fractional positions:
Nd 0.333 0.667 0.000
Nd 0.667 0.333 0.000
Sm 0.000 0.383 0.500
Sm 0.000 0.733 0.000
Sm 0.267 0.267 0.000
Sm 0.383 0.000 0.500
Sm 0.617 0.617 0.500
Sm 0.733 0.000 0.000
Hg 0.000 0.000 0.500

SG	No. 189
calculated density	7.8	Mg/m³

## two
DFT (PBE) results for a relaxed Nd2Sm6Hg crystal.

a b c (Å): 10.045 10.449 5.590
angles (deg): 90.00 90.00 90.00
Fractional positions:
Nd 0.194 0.244 0.000
Nd 0.306 0.744 0.500
Nd 0.694 0.256 0.500
Nd 0.806 0.756 0.000
Sm 0.021 0.314 0.500
Sm 0.136 0.894 0.000
Sm 0.184 0.570 0.000
Sm 0.316 0.070 0.500
Sm 0.364 0.394 0.500
Sm 0.479 0.814 0.000
Sm 0.521 0.186 0.000
Sm 0.636 0.606 0.500
Sm 0.684 0.930 0.500
Sm 0.816 0.430 0.000
Sm 0.864 0.106 0.000
Sm 0.979 0.686 0.500
Hg 0.000 0.000 0.500
Hg 0.500 0.500 0.000

SG	No. 58
calculated density	7.9	Mg/m³

one has the most favorable energy; the next structure is 67 meV/atom above.

## one
DFT (PBE) results for a relaxed Nd2Sm8Hg crystal.

a b c (Å): 9.296 9.296 7.921
angles (deg): 110.20 110.20 34.84
Fractional positions:
Nd 0.187 0.187 0.159
Nd 0.813 0.813 0.841
Sm 0.016 0.016 0.268
Sm 0.180 0.180 0.731
Sm 0.336 0.336 0.574
Sm 0.400 0.400 0.072
Sm 0.600 0.600 0.928
Sm 0.664 0.664 0.426
Sm 0.820 0.820 0.269
Sm 0.984 0.984 0.732
Hg 0.500 0.500 0.500

SG	No. 12
calculated density	7.7	Mg/m³

## two
DFT (PBE) results for a relaxed Nd2Sm8Hg crystal.

a b c (Å): 10.191 10.191 6.552
angles (deg): 94.19 94.19 32.52
Fractional positions:
Nd 0.239 0.239 0.332
Nd 0.761 0.761 0.668
Sm 0.041 0.041 0.261
Sm 0.154 0.154 0.803
Sm 0.342 0.342 0.881
Sm 0.421 0.421 0.398
Sm 0.579 0.579 0.602
Sm 0.658 0.658 0.119
Sm 0.846 0.846 0.197
Sm 0.959 0.959 0.739
Hg 0.500 0.500 0.000

SG	No. 12
calculated density	7.7	Mg/m³

two has the most favorable energy; the next structure is 61 meV/atom above.